# 1
# PBE Tb5Tm2Sc2, optimized geometry
# Total moment: 0.00 Bohr magnetons per cell
# Polymorph energy (0 for the lowest one): 0.0000 eV per atom
# Energy of formation from the pure elements: 0.35 eV per formula unit
# Electronic total energy: -4.934 eV per atom
data_Tb5Tm2Sc2
_cell_length_a 14.748
_cell_length_b 4.906
_cell_length_c 7.802
_cell_angle_alpha 90.00
_cell_angle_beta 108.49
_cell_angle_gamma 90.00
_symmetry_space_group_name_H-M 'C 1 2/m 1'
_symmetry_Int_Tables_number 12
_symmetry_space_group_name_Hall '-C 2y'
loop_
_atom_site_label
_atom_site_type_symbol
_atom_site_fract_x
_atom_site_fract_y
_atom_site_fract_z
Tb1 Tb 0.000 0.000 0.000
Tb2 Tb 0.166 0.500 0.002
Tb3 Tb 0.221 0.000 0.336
Tm1 Tm 0.108 0.000 0.664
Sc1 Sc 0.055 0.500 0.339

# 2
# PBE TbPm2Tm3, optimized geometry
# Total moment: 0.00 Bohr magnetons per cell
# Polymorph energy (0 for the lowest one): 0.0036 eV per atom
# Energy of formation from the pure elements: 0.74 eV per formula unit
# Electronic total energy: -4.467 eV per atom
data_TbPm2Tm3
_cell_length_a 23.175
_cell_length_b 3.482
_cell_length_c 10.167
_cell_angle_alpha 90.00
_cell_angle_beta 108.43
_cell_angle_gamma 90.00
_symmetry_space_group_name_H-M 'C 1 2/m 1'
_symmetry_Int_Tables_number 12
_symmetry_space_group_name_Hall '-C 2y'
loop_
_atom_site_label
_atom_site_type_symbol
_atom_site_fract_x
_atom_site_fract_y
_atom_site_fract_z
Tb1 Tb 0.189 0.000 0.037
Pm1 Pm 0.069 0.500 0.133
Pm2 Pm 0.190 0.000 0.372
Tm1 Tm 0.058 0.000 0.444
Tm2 Tm 0.070 0.500 0.762
Tm3 Tm 0.195 0.000 0.715

# 3
# PBE NdHoPt, optimized geometry
# Total moment: 0.00 Bohr magnetons per cell
# Polymorph energy (0 for the lowest one): 0.0000 eV per atom
# Energy of formation from the pure elements: -2.60 eV per formula unit
# Electronic total energy: -5.994 eV per atom
data_NdHoPt
_cell_length_a 3.825
_cell_length_b 12.129
_cell_length_c 7.000
_cell_angle_alpha 90.00
_cell_angle_beta 90.00
_cell_angle_gamma 90.00
_symmetry_space_group_name_H-M 'C m c m'
_symmetry_Int_Tables_number 63
_symmetry_space_group_name_Hall '-C 2c 2'
loop_
_atom_site_label
_atom_site_type_symbol
_atom_site_fract_x
_atom_site_fract_y
_atom_site_fract_z
Nd1 Nd 0.000 0.212 0.250
Ho1 Ho 0.000 0.500 0.000
Pt1 Pt 0.000 0.106 0.750

# 4
# PBE AlZnPt2, optimized geometry
# Total moment: 0.00 Bohr magnetons per cell
# Energy of formation from the pure elements: -2.72 eV per formula unit
# Electronic total energy: -4.954 eV per atom
data_AlZnPt2
_cell_length_a 3.649
_cell_length_b 3.768
_cell_length_c 8.645
_cell_angle_alpha 90.00
_cell_angle_beta 90.00
_cell_angle_gamma 90.00
_symmetry_space_group_name_H-M 'I m m 2'
_symmetry_Int_Tables_number 44
_symmetry_space_group_name_Hall 'I 2 -2'
loop_
_atom_site_label
_atom_site_type_symbol
_atom_site_fract_x
_atom_site_fract_y
_atom_site_fract_z
Al1 Al 0.000 0.000 0.000
Zn1 Zn 0.000 0.500 0.248
Pt1 Pt 0.000 0.000 0.493
Pt2 Pt 0.000 0.500 0.739

# 5
# PBE Mg5Si6, optimized geometry
# Total moment: 0.00 Bohr magnetons per cell
# Polymorph energy (0 for the lowest one): 0.0695 eV per atom
# Electronic total energy: -3.588 eV per atom
# Energy relative to the elements, uncorrected: 9.1 kJ/mol of atoms
data_Mg5Si6
_cell_length_a 5.008
_cell_length_b 8.383
_cell_length_c 11.095
_cell_angle_alpha 69.61
_cell_angle_beta 82.08
_cell_angle_gamma 83.10
_symmetry_space_group_name_H-M 'P 1'
_symmetry_Int_Tables_number 1
_symmetry_space_group_name_Hall 'P 1'
loop_
_atom_site_label
_atom_site_type_symbol
_atom_site_fract_x
_atom_site_fract_y
_atom_site_fract_z
Mg1 Mg 0.000 0.000 0.000
Mg2 Mg 0.005 0.571 0.511
Mg3 Mg 0.234 0.685 0.913
Mg4 Mg 0.337 0.399 0.179
Mg5 Mg 0.442 0.674 0.651
Mg6 Mg 0.525 0.769 0.152
Mg7 Mg 0.658 0.979 0.394
Mg8 Mg 0.811 0.386 0.348
Mg9 Mg 0.913 0.158 0.675
Mg10 Mg 0.947 0.443 0.844
Si1 Si 0.157 0.999 0.282
Si2 Si 0.164 0.974 0.507
Si3 Si 0.299 0.266 0.441
Si4 Si 0.353 0.180 0.783
Si5 Si 0.455 0.357 0.897
Si6 Si 0.485 0.117 0.094
Si7 Si 0.488 0.389 0.579
Si8 Si 0.622 0.907 0.866
Si9 Si 0.841 0.513 0.082
Si10 Si 0.866 0.214 0.146
Si11 Si 0.893 0.798 0.696
Si12 Si 0.997 0.751 0.259

# 6
# PBE Mg2SbBr, optimized geometry
# Total moment: 0.00 Bohr magnetons per cell
# Polymorph energy (0 for the lowest one): 0.2899 eV per atom
# Electronic total energy: -2.591 eV per atom
# Energy relative to the elements, uncorrected: -33.2 kJ/mol of atoms
data_Mg2SbBr
_cell_length_a 4.403
_cell_length_b 4.988
_cell_length_c 10.096
_cell_angle_alpha 90.00
_cell_angle_beta 90.00
_cell_angle_gamma 90.00
_symmetry_space_group_name_H-M 'C m m 2'
_symmetry_Int_Tables_number 35
_symmetry_space_group_name_Hall 'C 2 -2'
loop_
_atom_site_label
_atom_site_type_symbol
_atom_site_fract_x
_atom_site_fract_y
_atom_site_fract_z
Mg1 Mg 0.000 0.000 0.000
Mg2 Mg 0.000 0.500 0.243
Sb1 Sb 0.000 0.500 0.791
Br1 Br 0.000 0.000 0.397